1.
Here is an optimized crystal structure of LiFeAu2 from Alexandria via LeMat-Bulk. Energies are from PBE.

```
data_LiFeAu2
_cell_length_a 3.825
_cell_length_b 3.836
_cell_length_c 8.423
_cell_angle_alpha 90.00
_cell_angle_beta 90.00
_cell_angle_gamma 90.00
_space_group_name_H-M_alt 'I m m 2'
_space_group_IT_number 44
loop_
_space_group_symop_operation_xyz
'x,y,z'
'-x,-y,z'
'-x,y,z'
'x,-y,z'
'x+1/2,y+1/2,z+1/2'
'-x+1/2,-y+1/2,z+1/2'
'-x+1/2,y+1/2,z+1/2'
'x+1/2,-y+1/2,z+1/2'
loop_
_atom_site_label
_atom_site_type_symbol
_atom_site_fract_x
_atom_site_fract_y
_atom_site_fract_z
Li1 Li 0.000 0.000 0.000
Fe1 Fe 0.000 0.500 0.250
Au1 Au 0.000 0.000 0.500
Au2 Au 0.000 0.500 0.750
```

The formation energy is -0.095 eV/atom. The calculation puts the density of states at the Fermi level at 0.791 states/eV/atom. For the calculated total energy, the calculation gives -4.33 eV/atom. The calculation puts the total moment at 3.07 μB per formula unit.

=====

2.
Here is an optimized crystal structure of LiFeAu2 from Alexandria via LeMat-Bulk. Energies are from PBE.

```
data_LiFeAu2
_cell_length_a 4.718
_cell_length_b 2.727
_cell_length_c 5.313
_cell_angle_alpha 90.00
_cell_angle_beta 109.71
_cell_angle_gamma 90.00
_space_group_name_H-M_alt 'P 1 2/m 1'
_space_group_IT_number 10
loop_
_space_group_symop_operation_xyz
'x,y,z'
'-x,-y,-z'
'-x,y,-z'
'x,-y,z'
loop_
_atom_site_label
_atom_site_type_symbol
_atom_site_fract_x
_atom_site_fract_y
_atom_site_fract_z
Li1 Li 0.000 0.000 0.000
Fe1 Fe 0.500 0.500 0.500
Au1 Au 0.000 0.000 0.500
Au2 Au 0.500 0.500 0.000
```

The formation energy is -0.021 eV/atom. The calculation puts the density of states at the Fermi level at 0.705 states/eV/atom. For the calculated total energy, the calculation gives -4.25 eV/atom. The calculation puts the total moment at 2.87 μB per formula unit.

=====

3.
Here is an optimized crystal structure of LiFe2Au from Alexandria via LeMat-Bulk. Energies are from PBE.

```
data_LiFe2Au
_cell_length_a 5.030
_cell_length_b 8.370
_cell_length_c 2.639
_cell_angle_alpha 90.00
_cell_angle_beta 90.00
_cell_angle_gamma 90.00
_space_group_name_H-M_alt 'C m m m'
_space_group_IT_number 65
_space_group_name_Hall '-C 2 2'
loop_
_atom_site_label
_atom_site_type_symbol
_atom_site_fract_x
_atom_site_fract_y
_atom_site_fract_z
Li1 Li 0.000 0.000 0.000
Fe1 Fe 0.250 0.250 0.500
Au1 Au 0.000 0.500 0.000
```

The formation energy is 0.158 eV/atom. The calculation puts the density of states at the Fermi level at 0.901 states/eV/atom. For the calculated total energy, the calculation gives -5.37 eV/atom. The calculation puts the total moment at 5.45 μB per formula unit.

=====

4.
Here is an optimized crystal structure of LiFeAu3 from Alexandria via LeMat-Bulk. Energies are from PBE.

```
data_LiFeAu3
_cell_length_a 4.891
_cell_length_b 4.891
_cell_length_c 4.891
_cell_angle_alpha 90.00
_cell_angle_beta 90.00
_cell_angle_gamma 90.00
_space_group_name_H-M_alt 'P m -3 m'
_space_group_IT_number 221
_space_group_name_Hall '-P 4 2 3'
loop_
_atom_site_label
_atom_site_type_symbol
_atom_site_fract_x
_atom_site_fract_y
_atom_site_fract_z
Li1 Li 0.000 0.000 0.000
Fe1 Fe 0.500 0.500 0.500
Au1 Au 0.000 0.500 0.500
```

The formation energy is 0.368 eV/atom. The calculation puts the density of states at the Fermi level at 0.452 states/eV/atom. For the calculated total energy, the calculation gives -3.67 eV/atom. The value obtained for the distance to the lowest polymorph of the same formula is 0 kJ/mol of formula units. The calculation puts the total moment at 3.18 μB per formula unit.

=====

5.
Here is an optimized crystal structure of LiFeAu2 from Alexandria via LeMat-Bulk. Energies are from PBE.

```
data_LiFeAu2
_cell_length_a 2.812
_cell_length_b 2.812
_cell_length_c 8.014
_cell_angle_alpha 90.00
_cell_angle_beta 90.00
_cell_angle_gamma 90.00
_space_group_name_H-M_alt 'P 4 m m'
_space_group_IT_number 99
loop_
_space_group_symop_operation_xyz
'x,y,z'
'-y,x,z'
'-x,-y,z'
'y,-x,z'
'-x,y,z'
'y,x,z'
'x,-y,z'
'-y,-x,z'
loop_
_atom_site_label
_atom_site_type_symbol
_atom_site_fract_x
_atom_site_fract_y
_atom_site_fract_z
Li1 Li 0.000 0.000 0.000
Fe1 Fe 0.500 0.500 0.753
Au1 Au 0.000 0.000 0.519
Au2 Au 0.500 0.500 0.228
```

The formation energy is 0.039 eV/atom. The calculation puts the density of states at the Fermi level at 0.786 states/eV/atom. For the calculated total energy, the calculation gives -4.19 eV/atom. The calculation puts the total moment at 2.87 μB per formula unit.

=====

6.
Here is an optimized crystal structure of LiFeAu2 from Alexandria via LeMat-Bulk. Energies are from PBE.

```
data_LiFeAu2
_cell_length_a 6.312
_cell_length_b 6.312
_cell_length_c 6.312
_cell_angle_alpha 90.00
_cell_angle_beta 90.00
_cell_angle_gamma 90.00
_space_group_name_H-M_alt 'F -4 3 m'
_space_group_IT_number 216
_space_group_name_Hall 'F -4 2 3'
loop_
_atom_site_label
_atom_site_type_symbol
_atom_site_fract_x
_atom_site_fract_y
_atom_site_fract_z
Li1 Li 0.000 0.000 0.000
Fe1 Fe 0.250 0.250 0.750
Au1 Au 0.000 0.000 0.500
Au2 Au 0.250 0.250 0.250
```

The formation energy is -0.006 eV/atom. The calculation puts the density of states at the Fermi level at 0.581 states/eV/atom. For the calculated total energy, the calculation gives -4.24 eV/atom. The calculation puts the total moment at 3.08 μB per formula unit.

=====

7.
Here is an optimized crystal structure of LiFeAu2 from Alexandria via LeMat-Bulk. Energies are from PBE.

```
data_LiFeAu2
_cell_length_a 2.9056
_cell_length_b 2.9056
_cell_length_c 26.0421
_cell_angle_alpha 90.00
_cell_angle_beta 90.00
_cell_angle_gamma 120.00
_space_group_name_H-M_alt 'R -3 m'
_space_group_IT_number 166
_space_group_name_Hall '-R 3 2"'
loop_
_atom_site_label
_atom_site_type_symbol
_atom_site_fract_x
_atom_site_fract_y
_atom_site_fract_z
Li1 Li 0.0000 0.0000 0.0000
Fe1 Fe 0.0000 0.0000 0.5000
Au1 Au 0.0000 0.0000 0.2496
```

The formation energy is -0.014 eV/atom. The calculation puts the density of states at the Fermi level at 0.774 states/eV/atom. For the calculated total energy, the calculation gives -4.25 eV/atom. The calculation puts the total moment at 2.98 μB per formula unit.

=====

8.
Here is an optimized crystal structure of LiFeAu2 from Alexandria via LeMat-Bulk. Energies are from PBE.

```
data_LiFeAu2
_cell_length_a 9.495
_cell_length_b 2.772
_cell_length_c 4.758
_cell_angle_alpha 90.00
_cell_angle_beta 96.80
_cell_angle_gamma 90.00
_space_group_name_H-M_alt 'C 1 m 1'
_space_group_IT_number 8
loop_
_space_group_symop_operation_xyz
'x,y,z'
'x,-y,z'
'x+1/2,y+1/2,z'
'x+1/2,-y+1/2,z'
loop_
_atom_site_label
_atom_site_type_symbol
_atom_site_fract_x
_atom_site_fract_y
_atom_site_fract_z
Li1 Li 0.000 0.000 0.000
Fe1 Fe 0.238 0.000 0.674
Au1 Au 0.245 0.500 0.169
Au2 Au 0.497 0.000 0.510
```

The formation energy is -0.128 eV/atom. The calculation puts the density of states at the Fermi level at 0.698 states/eV/atom. For the calculated total energy, the calculation gives -4.36 eV/atom. The calculation puts the total moment at 2.95 μB per formula unit.

=====

9.
Here is an optimized crystal structure of LiFe4Au from Alexandria via LeMat-Bulk. Energies are from PBE.

```
data_LiFe4Au
_cell_length_a 6.826
_cell_length_b 6.826
_cell_length_c 6.826
_cell_angle_alpha 90.00
_cell_angle_beta 90.00
_cell_angle_gamma 90.00
_space_group_name_H-M_alt 'F -4 3 m'
_space_group_IT_number 216
_space_group_name_Hall 'F -4 2 3'
loop_
_atom_site_label
_atom_site_type_symbol
_atom_site_fract_x
_atom_site_fract_y
_atom_site_fract_z
Li1 Li 0.000 0.000 0.000
Fe1 Fe 0.126 0.126 0.374
Au1 Au 0.250 0.250 0.750
```

The formation energy is 0.145 eV/atom. The calculation puts the density of states at the Fermi level at 1.200 states/eV/atom. For the calculated total energy, the calculation gives -6.36 eV/atom. The calculation puts the total moment at 9.41 μB per formula unit.

=====

10.
Here is an optimized crystal structure of LiFe2Au from Alexandria via LeMat-Bulk. Energies are from PBE.

```
data_LiFe2Au
_cell_length_a 3.056
_cell_length_b 3.056
_cell_length_c 5.852
_cell_angle_alpha 90.00
_cell_angle_beta 90.00
_cell_angle_gamma 90.00
_space_group_name_H-M_alt 'P 4 m m'
_space_group_IT_number 99
loop_
_space_group_symop_operation_xyz
'x,y,z'
'-y,x,z'
'-x,-y,z'
'y,-x,z'
'-x,y,z'
'y,x,z'
'x,-y,z'
'-y,-x,z'
loop_
_atom_site_label
_atom_site_type_symbol
_atom_site_fract_x
_atom_site_fract_y
_atom_site_fract_z
Li1 Li 0.000 0.000 0.000
Fe1 Fe 0.000 0.000 0.540
Fe2 Fe 0.500 0.500 0.739
Au1 Au 0.500 0.500 0.246
```

The formation energy is 0.050 eV/atom. The calculation puts the density of states at the Fermi level at 0.694 states/eV/atom. For the calculated total energy, the calculation gives -5.48 eV/atom. The calculation puts the total moment at 5.42 μB per formula unit.

=====

11.
Here is an optimized crystal structure of LiFe2Au from Alexandria via LeMat-Bulk. Energies are from PBE.

```
data_LiFe2Au
_cell_length_a 2.650
_cell_length_b 4.530
_cell_length_c 4.631
_cell_angle_alpha 90.00
_cell_angle_beta 98.52
_cell_angle_gamma 90.00
_space_group_name_H-M_alt 'P 1 2/m 1'
_space_group_IT_number 10
loop_
_space_group_symop_operation_xyz
'x,y,z'
'-x,-y,-z'
'-x,y,-z'
'x,-y,z'
loop_
_atom_site_label
_atom_site_type_symbol
_atom_site_fract_x
_atom_site_fract_y
_atom_site_fract_z
Li1 Li 0.000 0.000 0.000
Fe1 Fe 0.228 0.500 0.761
Au1 Au 0.500 0.000 0.500
```

The formation energy is 0.111 eV/atom. The calculation puts the density of states at the Fermi level at 0.776 states/eV/atom. For the calculated total energy, the calculation gives -5.42 eV/atom. The calculation puts the total moment at 5.44 μB per formula unit.

=====

12.
Here is an optimized crystal structure of LiFe2Au from Alexandria via LeMat-Bulk. Energies are from PBE.

```
data_LiFe2Au
_cell_length_a 9.766
_cell_length_b 2.954
_cell_length_c 4.049
_cell_angle_alpha 90.00
_cell_angle_beta 114.26
_cell_angle_gamma 90.00
_space_group_name_H-M_alt 'C 1 2/m 1'
_space_group_IT_number 12
loop_
_space_group_symop_operation_xyz
'x,y,z'
'-x,-y,-z'
'-x,y,-z'
'x,-y,z'
'x+1/2,y+1/2,z'
'-x+1/2,-y+1/2,-z'
'-x+1/2,y+1/2,-z'
'x+1/2,-y+1/2,z'
loop_
_atom_site_label
_atom_site_type_symbol
_atom_site_fract_x
_atom_site_fract_y
_atom_site_fract_z
Li1 Li 0.000 0.000 0.000
Fe1 Fe 0.247 0.500 0.247
Au1 Au 0.000 0.500 0.500
```

The formation energy is 0.049 eV/atom. The calculation puts the density of states at the Fermi level at 0.697 states/eV/atom. For the calculated total energy, the calculation gives -5.48 eV/atom. The calculation puts the total moment at 5.21 μB per formula unit.

=====

13.
Here is an optimized crystal structure of LiFeAu2 from Alexandria via LeMat-Bulk. Energies are from PBE.

```
data_LiFeAu2
_cell_length_a 8.738
_cell_length_b 2.770
_cell_length_c 5.291
_cell_angle_alpha 90.00
_cell_angle_beta 97.98
_cell_angle_gamma 90.00
_space_group_name_H-M_alt 'C 1 2/m 1'
_space_group_IT_number 12
loop_
_space_group_symop_operation_xyz
'x,y,z'
'-x,-y,-z'
'-x,y,-z'
'x,-y,z'
'x+1/2,y+1/2,z'
'-x+1/2,-y+1/2,-z'
'-x+1/2,y+1/2,-z'
'x+1/2,-y+1/2,z'
loop_
_atom_site_label
_atom_site_type_symbol
_atom_site_fract_x
_atom_site_fract_y
_atom_site_fract_z
Li1 Li 0.000 0.000 0.000
Fe1 Fe 0.000 0.500 0.500
Au1 Au 0.244 0.000 0.750
```

The formation energy is 0.003 eV/atom. The calculation puts the density of states at the Fermi level at 0.682 states/eV/atom. For the calculated total energy, the calculation gives -4.23 eV/atom. The calculation puts the total moment at 2.81 μB per formula unit.

=====

14.
Here is an optimized crystal structure of LiFe2Au from Alexandria via LeMat-Bulk. Energies are from PBE.

```
data_LiFe2Au
_cell_length_a 3.576
_cell_length_b 3.658
_cell_length_c 4.118
_cell_angle_alpha 90.00
_cell_angle_beta 90.00
_cell_angle_gamma 90.00
_space_group_name_H-M_alt 'P m m m'
_space_group_IT_number 47
loop_
_space_group_symop_operation_xyz
'x,y,z'
'-x,-y,-z'
'-x,-y,z'
'x,y,-z'
'x,-y,-z'
'-x,y,z'
'-x,y,-z'
'x,-y,z'
loop_
_atom_site_label
_atom_site_type_symbol
_atom_site_fract_x
_atom_site_fract_y
_atom_site_fract_z
Li1 Li 0.000 0.000 0.000
Fe1 Fe 0.000 0.500 0.500
Fe2 Fe 0.500 0.000 0.500
Au1 Au 0.500 0.500 0.000
```

The formation energy is 0.050 eV/atom. The calculation puts the density of states at the Fermi level at 0.982 states/eV/atom. For the calculated total energy, the calculation gives -5.48 eV/atom. The calculation puts the total moment at 5.41 μB per formula unit.